Hf2GaSi: relaxed, PBE-GGA.

Cell and atoms, written as POSCAR:
```
Hf2GaSi
1.0
2.143 1.237 4.714
-2.143 1.237 4.714
0.000 -2.474 4.714
Hf Ga Si
2 1 1
direct
0.248 0.248 0.248
0.752 0.752 0.752
0.000 0.000 0.000
0.500 0.500 0.500
```

## Properties
relative energy among the computed polymorphs	297	meV per atom
raw formation energy	-0.40	eV per atom
density	10.07	g/cm3
E_tot	-7.49	eV per atom